1.
KZrOs2: relaxed, PBE-GGA. Values from VASP.

Properties
The calculation puts the density of states at the Fermi level at 5.70 states/eV per cell. The calculation puts the raw total energy at -29.778 eV/cell.

The structure in Quantum ESPRESSO input format:
```
&SYSTEM
  ibrav = 0, nat = 4, ntyp = 3
/
ATOMIC_SPECIES
K 39.10 K.upf
Zr 91.22 Zr.upf
Os 190.23 Os.upf
ATOMIC_POSITIONS crystal
K 0.000 0.000 0.000
Zr 0.500 0.500 0.642
Os 0.000 0.000 0.432
Os 0.500 0.500 0.273
CELL_PARAMETERS angstrom
2.884 0.000 0.000
0.000 2.884 0.000
0.000 0.000 10.227
```

2.
KZrOs2: relaxed, PBE-GGA. Values from VASP.

Properties
The calculation puts the density of states at the Fermi level at 4.22 states/eV per cell. The calculation puts the raw total energy at -28.923 eV/cell.

The structure in Quantum ESPRESSO input format:
```
&SYSTEM
  ibrav = 0, nat = 4, ntyp = 3
/
ATOMIC_SPECIES
K 39.10 K.upf
Zr 91.22 Zr.upf
Os 190.23 Os.upf
ATOMIC_POSITIONS crystal
K 0.000 0.000 0.000
Zr 0.500 0.500 0.500
Os 0.220 0.220 0.631
Os 0.780 0.780 0.369
CELL_PARAMETERS angstrom
4.884 -1.503 0.000
4.884 1.503 0.000
-1.305 0.000 7.061
```

3.
KZrOs2: relaxed, PBE-GGA. Values from VASP.

Properties
The calculation puts the density of states at the Fermi level at 3.37 states/eV per cell. The calculation puts the raw total energy at -29.088 eV/cell.

The structure in Quantum ESPRESSO input format:
```
&SYSTEM
  ibrav = 0, nat = 4, ntyp = 3
/
ATOMIC_SPECIES
K 39.10 K.upf
Zr 91.22 Zr.upf
Os 190.23 Os.upf
ATOMIC_POSITIONS crystal
K 0.000 0.000 0.000
Zr 0.500 0.500 0.500
Os 0.243 0.243 0.243
Os 0.757 0.757 0.757
CELL_PARAMETERS angstrom
1.423 0.822 10.593
-1.423 0.822 10.593
0.000 -1.643 10.593
```

4.
KZr3Os: relaxed, PBE-GGA. Values from VASP.

Properties
The calculation puts the density of states at the Fermi level at 6.47 states/eV per cell. The calculation puts the raw total energy at -35.462 eV/cell.

The structure in Quantum ESPRESSO input format:
```
&SYSTEM
  ibrav = 0, nat = 5, ntyp = 3
/
ATOMIC_SPECIES
K 39.10 K.upf
Zr 91.22 Zr.upf
Os 190.23 Os.upf
ATOMIC_POSITIONS crystal
K 0.000 0.000 0.000
Zr 0.000 0.500 0.500
Zr 0.500 0.000 0.500
Zr 0.500 0.500 0.000
Os 0.500 0.500 0.500
CELL_PARAMETERS angstrom
5.213 0.000 0.000
0.000 5.213 0.000
0.000 0.000 5.213
```

5.
KZrOs2: relaxed, PBE-GGA. Values from VASP.

Properties
The calculation puts the density of states at the Fermi level at 2.92 states/eV per cell. The calculation puts the raw total energy at -27.913 eV/cell.

The structure in Quantum ESPRESSO input format:
```
&SYSTEM
  ibrav = 0, nat = 4, ntyp = 3
/
ATOMIC_SPECIES
K 39.10 K.upf
Zr 91.22 Zr.upf
Os 190.23 Os.upf
ATOMIC_POSITIONS crystal
K 0.000 0.000 0.000
Zr 0.500 0.500 0.000
Os 0.269 0.769 0.500
Os 0.731 0.231 0.500
CELL_PARAMETERS angstrom
-1.543 2.510 4.803
1.543 -2.510 4.803
1.543 2.510 -4.803
```

6.
KZrOs2: relaxed, PBE-GGA. Values from VASP.

Properties
The calculation puts the density of states at the Fermi level at 3.19 states/eV per cell. The calculation puts the raw total energy at -30.145 eV/cell.

The structure in Quantum ESPRESSO input format:
```
&SYSTEM
  ibrav = 0, nat = 4, ntyp = 3
/
ATOMIC_SPECIES
K 39.10 K.upf
Zr 91.22 Zr.upf
Os 190.23 Os.upf
ATOMIC_POSITIONS crystal
K 0.000 0.000 0.000
Zr 0.500 0.500 0.606
Os 0.000 0.000 0.410
Os 0.500 0.500 0.306
CELL_PARAMETERS angstrom
2.848 0.000 0.000
0.000 3.880 0.000
0.000 0.000 8.816
```

7.
KZrOs2: relaxed, PBE-GGA. Values from VASP.

Properties
The calculation puts the density of states at the Fermi level at 3.85 states/eV per cell. The calculation puts the raw total energy at -29.182 eV/cell.

The structure in Quantum ESPRESSO input format:
```
&SYSTEM
  ibrav = 0, nat = 4, ntyp = 3
/
ATOMIC_SPECIES
K 39.10 K.upf
Zr 91.22 Zr.upf
Os 190.23 Os.upf
ATOMIC_POSITIONS crystal
K 0.000 0.000 0.000
Zr 0.500 0.000 0.500
Os 0.254 0.500 0.657
Os 0.746 0.500 0.343
CELL_PARAMETERS angstrom
2.831 0.000 0.000
0.000 4.521 0.000
-0.848 0.000 7.247
```

8.
KZr3Os: relaxed, PBE-GGA. Values from VASP.

Properties
The calculation puts the density of states at the Fermi level at 8.78 states/eV per cell. The calculation puts the raw total energy at -26.664 eV/cell.

The structure in Quantum ESPRESSO input format:
```
&SYSTEM
  ibrav = 0, nat = 5, ntyp = 3
/
ATOMIC_SPECIES
K 39.10 K.upf
Zr 91.22 Zr.upf
Os 190.23 Os.upf
ATOMIC_POSITIONS crystal
K 0.000 0.000 0.000
Zr 0.000 0.000 0.500
Zr 0.000 0.500 0.000
Zr 0.500 0.000 0.000
Os 0.500 0.500 0.500
CELL_PARAMETERS angstrom
4.727 0.000 0.000
0.000 4.727 0.000
0.000 0.000 4.727
```

9.
KZrOs2: relaxed, PBE-GGA. Values from VASP.

Properties
The calculation puts the density of states at the Fermi level at 3.96 states/eV per cell. The calculation puts the raw total energy at -29.579 eV/cell.

The structure in Quantum ESPRESSO input format:
```
&SYSTEM
  ibrav = 0, nat = 4, ntyp = 3
/
ATOMIC_SPECIES
K 39.10 K.upf
Zr 91.22 Zr.upf
Os 190.23 Os.upf
ATOMIC_POSITIONS crystal
K 0.000 0.000 0.000
Zr 0.000 0.000 0.500
Os 0.500 0.500 0.285
Os 0.500 0.500 0.715
CELL_PARAMETERS angstrom
1.602 -2.421 0.000
1.602 2.421 0.000
0.000 0.000 9.969
```

10.
KZrOs2: relaxed, PBE-GGA. Values from VASP.

Properties
The calculation puts the density of states at the Fermi level at 5.60 states/eV per cell. The calculation puts the raw total energy at -27.377 eV/cell.

The structure in Quantum ESPRESSO input format:
```
&SYSTEM
  ibrav = 0, nat = 4, ntyp = 3
/
ATOMIC_SPECIES
K 39.10 K.upf
Zr 91.22 Zr.upf
Os 190.23 Os.upf
ATOMIC_POSITIONS crystal
K 0.000 0.000 0.000
Zr 0.500 0.500 0.500
Os 0.250 0.250 0.250
Os 0.750 0.750 0.750
CELL_PARAMETERS angstrom
0.000 3.358 3.358
3.358 0.000 3.358
3.358 3.358 0.000
```

11.
KZrOs3: relaxed, PBE-GGA. Values from VASP.

Properties
The calculation puts the density of states at the Fermi level at 2.90 states/eV per cell. The calculation puts the raw total energy at -28.284 eV/cell.

The structure in Quantum ESPRESSO input format:
```
&SYSTEM
  ibrav = 0, nat = 5, ntyp = 3
/
ATOMIC_SPECIES
K 39.10 K.upf
Zr 91.22 Zr.upf
Os 190.23 Os.upf
ATOMIC_POSITIONS crystal
K 0.000 0.000 0.000
Zr 0.500 0.500 0.500
Os 0.000 0.000 0.500
Os 0.000 0.500 0.000
Os 0.500 0.000 0.000
CELL_PARAMETERS angstrom
4.555 0.000 0.000
0.000 4.555 0.000
0.000 0.000 4.555
```

12.
KZrOs2: relaxed, PBE-GGA. Values from VASP.

Properties
The calculation puts the density of states at the Fermi level at 6.62 states/eV per cell. The calculation puts the raw total energy at -54.248 eV/cell.

The structure in Quantum ESPRESSO input format:
```
&SYSTEM
  ibrav = 0, nat = 8, ntyp = 3
/
ATOMIC_SPECIES
K 39.10 K.upf
Zr 91.22 Zr.upf
Os 190.23 Os.upf
ATOMIC_POSITIONS crystal
K 0.000 0.000 0.000
K 0.750 0.250 0.500
Zr 0.250 0.750 0.500
Zr 0.500 0.500 0.000
Os 0.336 0.125 0.711
Os 0.375 0.664 0.789
Os 0.414 0.625 0.289
Os 0.875 0.586 0.211
CELL_PARAMETERS angstrom
-2.458 2.458 9.201
2.458 -2.458 9.201
2.458 2.458 -9.201
```

Let's list energy above the lowest structure with this stoichiometry in order: 120.9, 334.5, 293.4, 0.0, 587.1, 29.2, 269.8, 1759.5, 170.6, 721.2, 797.5, 784.4 meV/atom.
Let's list calculated volume in order: 85.0, 103.7, 74.3, 141.6, 74.4, 97.4, 92.7, 105.6, 77.4, 75.7, 94.5, 222.4 Å³/cell.
Let's list calculated formation energy in order: 0.582, 0.795, 0.754, 0.502, 1.048, 0.490, 0.731, 2.262, 0.632, 1.182, 3.010, 1.245 eV per atom.